(1)
This record from Alexandria describes an optimized crystal structure of Ca2TiNb2. The functional is PBE-GGA.

Values from the calculation:
symmetry	No. 127
ΔE to the lowest computed polymorph	0.3120	eV per atom
energy relative to the elements	1.128	eV per atom
final energy	-5.2791	eV per atom
Fermi-level density of states	6.945	states/eV/f.u.

The structure in POSCAR format:
```
Ca2TiNb2
1.0
9.0895 0.0000 0.0000
0.0000 9.0895 0.0000
0.0000 0.0000 2.8175
Ca Ti Nb
4 2 4
direct
0.1144 0.3856 0.0000
0.3856 0.8856 0.0000
0.6144 0.1144 0.0000
0.8856 0.6144 0.0000
0.0000 0.0000 0.0000
0.5000 0.5000 0.0000
0.1902 0.6902 0.5000
0.3098 0.1902 0.5000
0.6902 0.8098 0.5000
0.8098 0.3098 0.5000
```

(2)
This record from Alexandria describes an optimized crystal structure of Ca2TiNb. The functional is PBE-GGA.

Values from the calculation:
symmetry	No. 122
ΔE to the lowest computed polymorph	0.2258	eV per atom
energy relative to the elements	1.098	eV per atom
final energy	-4.3939	eV per atom
Fermi-level density of states	6.559	states/eV/f.u.

The structure in POSCAR format:
```
Ca2TiNb
1.0
-4.1916 4.1916 2.9102
4.1916 -4.1916 2.9102
4.1916 4.1916 -2.9102
Ca Ti Nb
4 2 2
direct
0.1219 0.6250 0.9969
0.3750 0.3719 0.4969
0.6281 0.1250 0.0031
0.8750 0.8781 0.5031
0.0000 0.0000 0.0000
0.7500 0.2500 0.5000
0.2500 0.7500 0.5000
0.5000 0.5000 0.0000
```

(3)
This record from Alexandria describes an optimized crystal structure of Ca2TiNb. The functional is PBE-GGA.

Values from the calculation:
symmetry	No. 225
ΔE to the lowest computed polymorph	0.0000	eV per atom
energy relative to the elements	0.872	eV per atom
final energy	-4.6197	eV per atom
Fermi-level density of states	7.438	states/eV/f.u.

The structure in POSCAR format:
```
Ca2TiNb
1.0
0.0000 3.7525 3.7525
3.7525 0.0000 3.7525
3.7525 3.7525 0.0000
Ca Ti Nb
2 1 1
direct
0.2500 0.2500 0.2500
0.7500 0.7500 0.7500
0.0000 0.0000 0.0000
0.5000 0.5000 0.5000
```

(4)
This record from Alexandria describes an optimized crystal structure of Ca4TiNb2. The functional is PBE-GGA.

Values from the calculation:
symmetry	No. 139
energy relative to the elements	1.049	eV per atom
final energy	-4.0996	eV per atom
Fermi-level density of states	8.852	states/eV/f.u.

The structure in POSCAR format:
```
Ca4TiNb2
1.0
-2.9778 2.9778 7.3561
2.9778 -2.9778 7.3561
2.9778 2.9778 -7.3561
Ca Ti Nb
4 1 2
direct
0.0000 0.5000 0.5000
0.2075 0.2075 0.0000
0.5000 0.0000 0.5000
0.7925 0.7925 0.0000
0.0000 0.0000 0.0000
0.4256 0.4256 0.0000
0.5744 0.5744 0.0000
```

(5)
This record from Alexandria describes an optimized crystal structure of Ca3TiNb. The functional is PBE-GGA.

Values from the calculation:
symmetry	No. 221
ΔE to the lowest computed polymorph	0.0000	eV per atom
energy relative to the elements	1.368	eV per atom
final energy	-3.4260	eV per atom
Fermi-level density of states	8.402	states/eV/f.u.

The structure in POSCAR format:
```
Ca3TiNb
1.0
5.5675 0.0000 0.0000
0.0000 5.5675 0.0000
0.0000 0.0000 5.5675
Ca Ti Nb
3 1 1
direct
0.0000 0.0000 0.5000
0.0000 0.5000 0.0000
0.5000 0.0000 0.0000
0.5000 0.5000 0.5000
0.0000 0.0000 0.0000
```

(6)
This record from Alexandria describes an optimized crystal structure of Ca2TiNb2. The functional is PBE-GGA.

Values from the calculation:
symmetry	No. 139
ΔE to the lowest computed polymorph	0.0000	eV per atom
energy relative to the elements	0.816	eV per atom
final energy	-5.5911	eV per atom
Fermi-level density of states	7.475	states/eV/f.u.

The structure in POSCAR format:
```
Ca2TiNb2
1.0
-1.8339 1.8339 10.6025
1.8339 -1.8339 10.6025
1.8339 1.8339 -10.6025
Ca Ti Nb
2 1 2
direct
0.1097 0.1097 0.0000
0.8903 0.8903 0.0000
0.5000 0.5000 0.0000
0.2500 0.7500 0.5000
0.7500 0.2500 0.5000
```

(7)
This record from Alexandria describes an optimized crystal structure of CaNb3Tl. The functional is PBE-GGA.

Values from the calculation:
symmetry	No. 221
ΔE to the lowest computed polymorph	0.0000	eV per atom
energy relative to the elements	1.708	eV per atom
final energy	-5.2074	eV per atom
Fermi-level density of states	2.508	states/eV/f.u.

The structure in POSCAR format:
```
CaNb3Tl
1.0
5.2237 0.0000 0.0000
0.0000 5.2237 0.0000
0.0000 0.0000 5.2237
Ca Nb Tl
1 3 1
direct
0.0000 0.0000 0.0000
0.0000 0.5000 0.5000
0.5000 0.0000 0.5000
0.5000 0.5000 0.0000
0.5000 0.5000 0.5000
```

(8)
This record from Alexandria describes an optimized crystal structure of Ca3NbTl. The functional is PBE-GGA.

Values from the calculation:
symmetry	No. 221
ΔE to the lowest computed polymorph	0.0360	eV per atom
energy relative to the elements	0.809	eV per atom
final energy	-2.8787	eV per atom
Fermi-level density of states	4.726	states/eV/f.u.

The structure in POSCAR format:
```
Ca3NbTl
1.0
5.8566 0.0000 0.0000
0.0000 5.8566 0.0000
0.0000 0.0000 5.8566
Ca Nb Tl
3 1 1
direct
0.0000 0.0000 0.5000
0.0000 0.5000 0.0000
0.5000 0.0000 0.0000
0.5000 0.5000 0.5000
0.0000 0.0000 0.0000
```